(1)
DFT (PBE) results for Ca2CrAsI after structural relaxation.

```
Ca2CrAsI
1.0
-3.591 1.858 -4.104
0.819 -4.204 -2.620
-4.406 -2.544 2.704
Cr I As Ca
1 1 1 2
Direct
0.000 0.500 0.000
0.000 0.000 0.000
0.500 0.500 0.500
0.000 0.000 0.500
0.500 0.000 0.000
```

Raw total energy   -3.6648 eV/atom
E_form (uncorrected)   0.300 eV per atom
V   167 Å³/f.u.

---

(2)
DFT (PBE) results for LiTa2Se after structural relaxation.

```
LiTa2Se
1.0
4.990 0.007 0.051
3.990 2.997 0.051
1.448 0.485 4.514
Ta Li Se
2 1 1
Direct
0.981 0.981 0.014
0.750 0.750 0.748
0.522 0.522 0.477
0.247 0.247 0.261
```

Raw total energy   -7.1504 eV/atom
E_form (uncorrected)   0.125 eV per atom
V   67 Å³/f.u.

---

(3)
DFT (PBE) results for CrAsBr2 after structural relaxation.

```
CrAsBr2
1.0
5.105 -0.600 0.000
-1.894 4.779 0.000
-1.606 -2.090 4.414
Br Cr As
2 1 1
Direct
0.000 0.000 0.000
0.250 0.750 0.500
0.500 0.500 0.000
0.750 0.250 0.500
```

Raw total energy   -3.9874 eV/atom
E_form (uncorrected)   0.417 eV per atom
Energy above the most stable polymorph in this dataset   585 meV/atom
V   103 Å³/f.u.

---

(4)
DFT (PBE) results for NbAg2N4 after structural relaxation.

```
NbAg2N4
1.0
-1.374 1.708 3.568
-3.015 -2.897 0.227
1.260 -3.958 4.838
N Ag Nb
4 2 1
Direct
0.184 0.184 0.632
0.500 0.000 0.000
0.000 0.500 0.000
0.816 0.816 0.368
0.632 0.632 0.736
0.368 0.368 0.264
0.000 0.000 0.000
```

Raw total energy   -5.9028 eV/atom
E_form (uncorrected)   1.108 eV per atom
V   99 Å³/f.u.

---

(5)
DFT (PBE) results for Sr2ThCuSe5 after structural relaxation.

```
Sr2ThCuSe5
1.0
4.198 0.000 0.000
-2.099 9.294 0.000
0.000 0.000 12.752
Se Cu Th Sr
10 2 2 4
Direct
0.310 0.621 0.363
0.501 0.001 0.262
0.033 0.066 0.018
0.690 0.379 0.863
0.303 0.606 0.680
0.499 0.999 0.762
0.967 0.934 0.518
0.697 0.394 0.180
0.348 0.696 0.016
0.652 0.304 0.516
0.441 0.881 0.429
0.559 0.119 0.929
0.807 0.614 0.523
0.193 0.386 0.023
0.887 0.775 0.843
0.113 0.225 0.343
0.116 0.231 0.690
0.884 0.769 0.190
```

Raw total energy   -5.0799 eV/atom
E_form (uncorrected)   -1.491 eV per atom
V   249 Å³/f.u.

---

(6)
DFT (PBE) results for SrLi2TlSe after structural relaxation.

```
SrLi2TlSe
1.0
6.062 0.000 0.000
0.000 6.062 0.000
0.000 0.000 5.628
Tl Li Se Sr
1 2 1 1
Direct
0.500 0.500 0.500
0.000 0.500 0.000
0.500 0.000 0.000
0.000 0.000 0.500
0.000 0.000 0.000
```

Raw total energy   -2.1627 eV/atom
E_form (uncorrected)   0.109 eV per atom
Energy above the most stable polymorph in this dataset   596 meV/atom
V   207 Å³/f.u.